A:
The following is a DFT calculation (PBE-GGA) of a relaxed BaAsP2S crystal.

Total moment (μB/atom): 0.54
DOS(E_F) (states/eV per atom): 1.44

Cell lengths 6.379, 6.379, 5.726 Å; angles 90.00, 90.00, 90.00 degrees
Site moments in Bohr magnetons follow the coordinates.
Sites, in units of the cell vectors:
As (0.500, 0.500, 0.500)  -1.08
S (0.000, 0.000, 0.500)  0.31
P (0.500, 0.000, 0.000)  0.94
P (0.000, 0.500, 0.000)  0.94
Ba (0.000, 0.000, 0.000)  0.07

=====

B:
The following is a DFT calculation (PBE-GGA) of a relaxed BaAsP2S crystal.

Total moment (μB/atom): 0.00
DOS(E_F) (states/eV per atom): 0.87

Cell lengths 4.840, 4.840, 5.188 Å; angles 90.00, 90.00, 90.00 degrees
Sites, in units of the cell vectors:
P (0.000, 0.500, 0.000)
P (0.500, 0.000, 0.000)
Ba (0.500, 0.500, 0.500)
S (0.000, 0.000, 0.500)
As (0.000, 0.000, 0.000)

=====

Computed energies relative to the best structure, in eV/atom: A 1.531; B 0.000

=====

A:
The following is a DFT calculation (PBE-GGA) of a relaxed Ba2As2Pb crystal.

Total moment (μB/atom): 0.00
DOS(E_F) (states/eV per atom): 1.27

Cell lengths 5.755, 5.755, 6.984 Å; angles 65.67, 65.67, 90.00 degrees
Sites, in units of the cell vectors:
Ba (0.250, 0.750, 0.500)
As (0.393, 0.393, 0.214)
Ba (0.750, 0.250, 0.500)
Pb (0.000, 0.000, 0.000)
As (0.607, 0.607, 0.786)

=====

B:
The following is a DFT calculation (PBE-GGA) of a relaxed Ba2As2Pb crystal.

Total moment (μB/atom): 0.00
DOS(E_F) (states/eV per atom): 0.42

Cell lengths 8.145, 8.145, 4.896 Å; angles 90.00, 90.00, 90.00 degrees
Sites, in units of the cell vectors:
Ba (0.681, 0.819, 0.500)
Pb (0.000, 0.000, 0.000)
Ba (0.181, 0.681, 0.500)
As (0.389, 0.889, 0.000)
As (0.111, 0.389, 0.000)
As (0.889, 0.611, 0.000)
As (0.611, 0.111, 0.000)
Ba (0.319, 0.181, 0.500)
Ba (0.819, 0.319, 0.500)
Pb (0.500, 0.500, 0.000)

=====

Computed energies relative to the best structure, in eV/atom: A 0.462; B 0.000

=====

A:
The following is a DFT calculation (PBE-GGA) of a relaxed Ba2AsPb crystal.

Total moment (μB/atom): 0.00
DOS(E_F) (states/eV per atom): 0.63

Cell lengths 9.302, 9.302, 7.524 Å; angles 51.82, 51.82, 90.00 degrees
Sites, in units of the cell vectors:
Ba (0.375, 0.416, 0.750)
As (0.500, 0.500, 0.000)
Ba (0.875, 0.834, 0.750)
Ba (0.584, 0.125, 0.250)
Pb (0.750, 0.250, 0.500)
Ba (0.166, 0.625, 0.250)
As (0.250, 0.750, 0.500)
Pb (0.000, 0.000, 0.000)

=====

B:
The following is a DFT calculation (PBE-GGA) of a relaxed Ba2AsPb crystal.

Total moment (μB/atom): 0.00
DOS(E_F) (states/eV per atom): 0.32

Cell lengths 5.919, 5.919, 4.160 Å; angles 90.00, 90.00, 103.53 degrees
Sites, in units of the cell vectors:
As (0.000, 0.500, 0.500)
Ba (0.000, 0.000, 0.000)
Pb (0.500, 0.000, 0.500)
Ba (0.500, 0.500, 0.000)

=====

C:
The following is a DFT calculation (PBE-GGA) of a relaxed Ba2AsPb crystal.

Total moment (μB/atom): 0.00
DOS(E_F) (states/eV per atom): 0.90

Cell lengths 5.914, 5.914, 5.914 Å; angles 60.00, 60.00, 60.00 degrees
Sites, in units of the cell vectors:
Pb (0.500, 0.500, 0.500)
Ba (0.750, 0.750, 0.750)
As (0.000, 0.000, 0.000)
Ba (0.250, 0.250, 0.250)

=====

Computed energies relative to the best structure, in eV/atom: A 0.135; B 0.000; C 0.072

=====

A:
The following is a DFT calculation (PBE-GGA) of a relaxed Ba2AsPb crystal.

Total moment (μB/atom): 0.00
DOS(E_F) (states/eV per atom): 0.62

Cell lengths 5.513, 5.513, 4.681 Å; angles 90.04, 90.04, 90.06 degrees
Sites, in units of the cell vectors:
As (0.000, 0.500, 0.500)
Ba (0.500, 0.500, 0.000)
Ba (0.000, 0.000, 0.000)
Pb (0.500, 0.000, 0.500)

=====

B:
The following is a DFT calculation (PBE-GGA) of a relaxed Ba2AsPb crystal.

Total moment (μB/atom): 0.00
DOS(E_F) (states/eV per atom): 1.87

Cell lengths 4.946, 4.946, 6.921 Å; angles 90.00, 90.00, 90.00 degrees
Sites, in units of the cell vectors:
Ba (0.500, 0.500, 0.374)
Ba (0.000, 0.000, 0.876)
As (0.500, 0.500, 0.874)
Pb (0.000, 0.000, 0.376)

=====

Computed energies relative to the best structure, in eV/atom: A 0.000; B 0.214

=====

A:
The following is a DFT calculation (PBE-GGA) of a relaxed Ba2AsPb crystal.

Total moment (μB/atom): 0.00
DOS(E_F) (states/eV per atom): 1.27

Cell lengths 5.800, 5.800, 5.800 Å; angles 60.00, 60.00, 60.00 degrees
Sites, in units of the cell vectors:
As (0.500, 0.500, 0.500)
Pb (0.750, 0.750, 0.750)
Ba (0.000, 0.000, 0.000)
Ba (0.250, 0.250, 0.250)

=====

B:
The following is a DFT calculation (PBE-GGA) of a relaxed Ba2AsPb crystal.

Total moment (μB/atom): 0.00
DOS(E_F) (states/eV per atom): 1.10

Cell lengths 4.122, 4.122, 9.634 Å; angles 90.00, 90.00, 94.19 degrees
Sites, in units of the cell vectors:
As (0.500, 0.500, 0.691)
Ba (0.500, 0.500, 0.323)
Pb (0.000, 0.000, 0.569)
Ba (0.000, 0.000, 0.917)

=====

C:
The following is a DFT calculation (PBE-GGA) of a relaxed Ba2AsPb crystal.

Total moment (μB/atom): 0.00
DOS(E_F) (states/eV per atom): 0.49

Cell lengths 6.145, 6.145, 6.145 Å; angles 127.35, 127.39, 77.65 degrees
Sites, in units of the cell vectors:
Pb (0.750, 0.250, 0.500)
Ba (0.500, 0.500, 0.000)
As (0.250, 0.750, 0.500)
Ba (0.000, 0.000, 0.000)

=====

Computed energies relative to the best structure, in eV/atom: A 0.375; B 0.292; C 0.000

=====

A:
The following is a DFT calculation (PBE-GGA) of a relaxed Ba2AsPb crystal.

Total moment (μB/atom): 0.24
DOS(E_F) (states/eV per atom): 0.73

Cell lengths 4.596, 4.596, 9.813 Å; angles 76.40, 76.40, 60.08 degrees
Site moments in Bohr magnetons follow the coordinates.
Sites, in units of the cell vectors:
Pb (0.750, 0.750, 0.750)  0.20
Ba (0.518, 0.518, 0.444)  0.04
As (0.250, 0.250, 0.250)  0.07
Ba (0.982, 0.982, 0.056)  0.04

=====

B:
The following is a DFT calculation (PBE-GGA) of a relaxed Ba2AsPb crystal.

Total moment (μB/atom): 0.02
DOS(E_F) (states/eV per atom): 0.88

Cell lengths 6.814, 6.814, 4.592 Å; angles 89.99, 89.99, 45.07 degrees
Sites, in units of the cell vectors:
Ba (0.742, 0.742, 0.625)
Ba (0.017, 0.017, 0.125)
Pb (0.448, 0.448, 0.625)
As (0.293, 0.293, 0.125)

=====

C:
The following is a DFT calculation (PBE-GGA) of a relaxed Ba2AsPb crystal.

Total moment (μB/atom): 0.00
DOS(E_F) (states/eV per atom): 0.79

Cell lengths 6.846, 6.846, 6.846 Å; angles 137.92, 137.92, 61.03 degrees
Sites, in units of the cell vectors:
Ba (0.000, 0.000, 0.000)
As (0.750, 0.250, 0.500)
Pb (0.500, 0.500, 0.000)
Ba (0.250, 0.750, 0.500)

=====

Computed energies relative to the best structure, in eV/atom: A 0.083; B 0.000; C 0.182